(w)
First-principles (PBE-GGA) data for a relaxed Tb2Sm6Y3 crystal, as listed in Alexandria via LeMat-Bulk.

Results
Calculated volume: 1086.0 Å³ per cell

The structure in CIF format:
```
data_Tb2Sm6Y3
_cell_length_a 3.6020
_cell_length_b 3.6020
_cell_length_c 96.6492
_cell_angle_alpha 90.00
_cell_angle_beta 90.00
_cell_angle_gamma 120.00
_symmetry_space_group_name_H-M 'R -3 m'
_symmetry_Int_Tables_number 166
_symmetry_space_group_name_Hall '-R 3 2"'
loop_
_atom_site_label
_atom_site_type_symbol
_atom_site_fract_x
_atom_site_fract_y
_atom_site_fract_z
_atom_site_occupancy
Tb1 Tb 0.0000 0.0000 0.0456 1
Sm1 Sm 0.0000 0.0000 0.1364 1
Sm2 Sm 0.0000 0.0000 0.3180 1
Sm3 Sm 0.0000 0.0000 0.4092 1
Y1 Y 0.0000 0.0000 0.2272 1
Y2 Y 0.0000 0.0000 0.5000 1
```



(x)
First-principles (PBE-GGA) data for a relaxed Tb2Sm6Y3 crystal, as listed in Alexandria via LeMat-Bulk.

Results
Calculated volume: 765.9 Å³ per cell

The structure in CIF format:
```
data_Tb2Sm6Y3
_cell_length_a 4.785
_cell_length_b 4.785
_cell_length_c 33.458
_cell_angle_alpha 90.00
_cell_angle_beta 90.00
_cell_angle_gamma 90.00
_symmetry_space_group_name_H-M 'I 4/m m m'
_symmetry_Int_Tables_number 139
_symmetry_space_group_name_Hall '-I 4 2'
loop_
_atom_site_label
_atom_site_type_symbol
_atom_site_fract_x
_atom_site_fract_y
_atom_site_fract_z
_atom_site_occupancy
Tb1 Tb 0.000 0.000 0.045 1
Sm1 Sm 0.000 0.000 0.195 1
Sm2 Sm 0.000 0.500 0.120 1
Y1 Y 0.000 0.000 0.299 1
Y2 Y 0.000 0.000 0.500 1
```



Relative to the most stable structure, the computed energies are (w) 0.0; (x) 25.9, all in kJ/mol of atoms.



(w)
First-principles (PBE-GGA) data for a relaxed Tb2Sm2Y3 crystal, as listed in Alexandria via LeMat-Bulk.

Results
Calculated volume: 227.8 Å³ per cell

The structure in CIF format:
```
data_Tb2Sm2Y3
_cell_length_a 3.584
_cell_length_b 6.198
_cell_length_c 10.764
_cell_angle_alpha 95.60
_cell_angle_beta 90.05
_cell_angle_gamma 106.71
_symmetry_space_group_name_H-M 'P -1'
_symmetry_Int_Tables_number 2
loop_
_symmetry_equiv_pos_as_xyz
'x,y,z'
'-x,-y,-z'
loop_
_atom_site_label
_atom_site_type_symbol
_atom_site_fract_x
_atom_site_fract_y
_atom_site_fract_z
_atom_site_occupancy
Tb1 Tb 0.072 0.144 0.287 1
Sm1 Sm 0.215 0.429 0.856 1
Y1 Y 0.358 0.715 0.428 1
Y2 Y 0.500 0.000 0.000 1
```



(x)
First-principles (PBE-GGA) data for a relaxed Tb2Sm2Y3 crystal, as listed in Alexandria via LeMat-Bulk.

Results
Calculated volume: 463.2 Å³ per cell

The structure in CIF format:
```
data_Tb2Sm2Y3
_cell_length_a 16.785
_cell_length_b 3.506
_cell_length_c 8.771
_cell_angle_alpha 90.00
_cell_angle_beta 116.19
_cell_angle_gamma 90.00
_symmetry_space_group_name_H-M 'C 1 2/m 1'
_symmetry_Int_Tables_number 12
loop_
_symmetry_equiv_pos_as_xyz
'x,y,z'
'-x,-y,-z'
'-x,y,-z'
'x,-y,z'
'x+1/2,y+1/2,z'
'-x+1/2,-y+1/2,-z'
'-x+1/2,y+1/2,-z'
'x+1/2,-y+1/2,z'
loop_
_atom_site_label
_atom_site_type_symbol
_atom_site_fract_x
_atom_site_fract_y
_atom_site_fract_z
_atom_site_occupancy
Tb1 Tb 0.137 0.000 0.409 1
Sm1 Sm 0.078 0.500 0.701 1
Y1 Y 0.000 0.500 0.000 1
Y2 Y 0.221 0.500 0.149 1
```



Relative to the most stable structure, the computed energies are (w) 0.0; (x) 10.9, all in kJ/mol of atoms.



(w)
First-principles (PBE-GGA) data for a relaxed Tb3Sm2Y crystal, as listed in Alexandria via LeMat-Bulk.

Results
Calculated volume: 780.8 Å³ per cell

The structure in CIF format:
```
data_Tb3Sm2Y
_cell_length_a 17.140
_cell_length_b 5.671
_cell_length_c 9.759
_cell_angle_alpha 90.00
_cell_angle_beta 124.60
_cell_angle_gamma 90.00
_symmetry_space_group_name_H-M 'C 1 2/m 1'
_symmetry_Int_Tables_number 12
loop_
_symmetry_equiv_pos_as_xyz
'x,y,z'
'-x,-y,-z'
'-x,y,-z'
'x,-y,z'
'x+1/2,y+1/2,z'
'-x+1/2,-y+1/2,-z'
'-x+1/2,y+1/2,-z'
'x+1/2,-y+1/2,z'
loop_
_atom_site_label
_atom_site_type_symbol
_atom_site_fract_x
_atom_site_fract_y
_atom_site_fract_z
_atom_site_occupancy
Tb1 Tb 0.002 0.000 0.169 1
Tb2 Tb 0.124 0.500 0.118 1
Tb3 Tb 0.250 0.000 0.089 1
Sm1 Sm 0.002 0.500 0.335 1
Sm2 Sm 0.250 0.000 0.425 1
Y1 Y 0.126 0.000 0.631 1
```



(x)
First-principles (PBE-GGA) data for a relaxed Tb3Sm2Y crystal, as listed in Alexandria via LeMat-Bulk.

Results
Calculated volume: 799.3 Å³ per cell

The structure in CIF format:
```
data_Tb3Sm2Y
_cell_length_a 15.028
_cell_length_b 9.649
_cell_length_c 6.013
_cell_angle_alpha 90.00
_cell_angle_beta 113.55
_cell_angle_gamma 90.00
_symmetry_space_group_name_H-M 'C 1 2/c 1'
_symmetry_Int_Tables_number 15
loop_
_symmetry_equiv_pos_as_xyz
'x,y,z'
'-x,-y,-z'
'-x,y,-z+1/2'
'x,-y,z+1/2'
'x+1/2,y+1/2,z'
'-x+1/2,-y+1/2,-z'
'-x+1/2,y+1/2,-z+1/2'
'x+1/2,-y+1/2,z+1/2'
loop_
_atom_site_label
_atom_site_type_symbol
_atom_site_fract_x
_atom_site_fract_y
_atom_site_fract_z
_atom_site_occupancy
Tb1 Tb 0.000 0.109 0.250 1
Tb2 Tb 0.234 0.417 0.486 1
Sm1 Sm 0.134 0.220 0.883 1
Y1 Y 0.000 0.500 0.000 1
```



Relative to the most stable structure, the computed energies are (w) 0.0; (x) 9.9, all in kJ/mol of atoms.